[1]
Compound: Dy5ErBi5
Source: Alexandria
Functional: PBE-GGA
Structure: optimized geometry

```
Dy5ErBi5
1.0
6.955 -3.129 0.000
6.955 3.129 0.000
-2.812 0.000 8.366
Dy Er Bi
5 1 5
direct
0.000 0.000 0.000
0.334 0.334 0.164
0.337 0.337 0.674
0.663 0.663 0.326
0.666 0.666 0.836
0.000 0.000 0.500
0.166 0.166 0.834
0.169 0.169 0.334
0.500 0.500 0.500
0.831 0.831 0.666
0.834 0.834 0.166
```

Values from the calculation:
The total energy is -4.926 eV/atom.

[2]
Compound: CrPbBr2
Source: Alexandria
Functional: PBE-GGA
Structure: optimized geometry

```
CrPbBr2
1.0
-2.127 2.127 6.317
2.127 -2.127 6.317
2.127 2.127 -6.317
Cr Pb Br
1 1 2
direct
0.000 0.000 0.000
0.250 0.750 0.500
0.500 0.500 0.000
0.750 0.250 0.500
```

Values from the calculation:
The uncorrected formation energy comes out at 84 meV/atom. The energy above the most stable polymorph in this dataset is 0.3811 eV per atom.

[3]
Compound: NpAl4Hg
Source: Alexandria
Functional: PBE-GGA
Structure: optimized geometry

```
NpAl4Hg
1.0
0.000 3.908 3.908
3.908 0.000 3.908
3.908 3.908 0.000
Np Al Hg
1 4 1
direct
0.000 0.000 0.000
0.121 0.626 0.626
0.626 0.121 0.626
0.626 0.626 0.121
0.626 0.626 0.626
0.250 0.250 0.250
```

Values from the calculation:
The total energy is -4.598 eV/atom.

[4]
Compound: YHoLuZr
Source: Alexandria
Functional: PBE-GGA
Structure: optimized geometry

```
YHoLuZr
1.0
0.000 3.865 3.865
3.865 0.000 3.865
3.865 3.865 0.000
Y Ho Lu Zr
1 1 1 1
direct
0.000 0.000 0.000
0.750 0.750 0.750
0.250 0.250 0.250
0.500 0.500 0.500
```

Values from the calculation:
The total energy is -5.823 eV/atom.

[5]
Compound: CaEr2Te3
Source: Alexandria
Functional: PBE-GGA
Structure: optimized geometry

```
CaEr2Te3
1.0
-2.177 3.085 6.586
2.177 -3.085 6.586
2.177 3.085 -6.586
Ca Er Te
1 2 3
direct
0.000 0.000 0.000
0.337 0.337 0.000
0.663 0.663 0.000
0.171 0.671 0.500
0.500 0.000 0.500
0.829 0.329 0.500
```

Values from the calculation:
The uncorrected formation energy comes out at -1345 meV/atom.

[6]
Compound: Li4RuPt
Source: Alexandria
Functional: PBE-GGA
Structure: optimized geometry

```
Li4RuPt
1.0
0.000 3.352 3.352
3.352 0.000 3.352
3.352 3.352 0.000
Li Ru Pt
4 1 1
direct
0.125 0.125 0.125
0.125 0.125 0.625
0.125 0.625 0.125
0.625 0.125 0.125
0.500 0.500 0.500
0.750 0.750 0.750
```

Values from the calculation:
The total energy is -3.754 eV/atom.

[7]
Compound: Cs3Nd3InS8
Source: Alexandria
Functional: PBE-GGA
Structure: optimized geometry

```
Cs3Nd3InS8
1.0
4.158 2.401 8.232
-4.158 2.401 8.232
0.000 -4.801 8.232
Cs Nd In S
3 3 1 8
direct
0.000 0.500 0.500
0.500 0.000 0.500
0.500 0.500 0.000
0.000 0.000 0.500
0.000 0.500 0.000
0.500 0.000 0.000
0.500 0.500 0.500
0.229 0.229 0.229
0.242 0.718 0.718
0.282 0.282 0.758
0.282 0.758 0.282
0.718 0.242 0.718
0.718 0.718 0.242
0.758 0.282 0.282
0.771 0.771 0.771
```

Values from the calculation:
The uncorrected formation energy comes out at -1449 meV/atom.

[8]
Compound: Be2HgIr
Source: Alexandria
Functional: PBE-GGA
Structure: optimized geometry

```
Be2HgIr
1.0
-1.750 1.750 4.284
1.750 -1.750 4.284
1.750 1.750 -4.284
Be Hg Ir
2 1 1
direct
0.000 0.000 0.000
0.750 0.250 0.500
0.250 0.750 0.500
0.500 0.500 0.000
```

Values from the calculation:
The total energy is -4.028 eV/atom.

[9]
Compound: MgCuTe4
Source: Alexandria
Functional: PBE-GGA
Structure: optimized geometry

```
MgCuTe4
1.0
0.000 4.479 4.479
4.479 0.000 4.479
4.479 4.479 0.000
Mg Cu Te
1 1 4
direct
0.000 0.000 0.000
0.250 0.250 0.250
0.126 0.625 0.625
0.625 0.126 0.625
0.625 0.625 0.126
0.625 0.625 0.625
```

Values from the calculation:
The uncorrected formation energy comes out at 557 meV/atom.

[10]
Compound: CePm2WN4
Source: Alexandria
Functional: PBE-GGA
Structure: optimized geometry

```
CePm2WN4
1.0
1.716 -6.058 0.000
1.716 6.058 0.000
0.000 0.000 12.345
Ce Pm W N
2 4 2 8
direct
0.089 0.911 0.750
0.911 0.089 0.250
0.370 0.630 0.538
0.370 0.630 0.962
0.630 0.370 0.038
0.630 0.370 0.462
0.170 0.830 0.250
0.830 0.170 0.750
0.000 0.000 0.000
0.000 0.000 0.500
0.269 0.731 0.130
0.269 0.731 0.370
0.434 0.566 0.750
0.566 0.434 0.250
0.731 0.269 0.630
0.731 0.269 0.870
```

Values from the calculation:
The uncorrected formation energy comes out at -994 meV/atom.

[11]
Compound: Ac2UPdS5
Source: Alexandria
Functional: PBE-GGA
Structure: optimized geometry

```
Ac2UPdS5
1.0
2.034 -8.403 0.000
2.034 8.403 0.000
0.000 0.000 12.508
Ac U Pd S
4 2 2 10
direct
0.112 0.888 0.500
0.119 0.881 0.851
0.881 0.119 0.351
0.888 0.112 0.000
0.178 0.822 0.176
0.822 0.178 0.676
0.442 0.558 0.572
0.558 0.442 0.072
0.021 0.979 0.172
0.301 0.699 0.525
0.304 0.696 0.827
0.341 0.659 0.174
0.495 0.505 0.898
0.505 0.495 0.398
0.659 0.341 0.674
0.696 0.304 0.327
0.699 0.301 0.025
0.979 0.021 0.672
```

Values from the calculation:
The uncorrected formation energy comes out at -1644 meV/atom.

[12]
Compound: La5Ce2In5
Source: Alexandria
Functional: PBE-GGA
Structure: optimized geometry

```
La5Ce2In5
1.0
7.849 -2.270 0.000
7.849 2.270 0.000
-5.308 0.000 10.154
La Ce In
5 2 5
direct
0.000 0.000 0.000
0.071 0.071 0.752
0.252 0.252 0.251
0.748 0.748 0.749
0.929 0.929 0.248
0.160 0.160 0.490
0.840 0.840 0.510
0.320 0.320 0.997
0.403 0.403 0.737
0.500 0.500 0.500
0.597 0.597 0.263
0.680 0.680 0.003
```

Values from the calculation:
The total energy is -4.535 eV/atom.